Record 1
LaIrRh2C (PBE, relaxed); total moment = 0.00 μB/f.u.; E_form = -0.303 eV per atom; volume = 15.68 A^3/atom
1.0
4.3602 0.0000 0.0000
0.0000 4.3602 0.0000
0.0000 0.0000 4.1226
C Ir Rh La
1 1 2 1
Direct
0.0000 0.0000 0.0000 C
0.0000 0.0000 0.5000 Ir
0.0000 0.5000 0.0000 Rh
0.5000 0.0000 0.0000 Rh
0.5000 0.5000 0.5000 La

---

Record 2
Zr2GaIr (PBE, relaxed); total moment = 0.00 μB/f.u.; E_form = -0.365 eV per atom; volume = 20.61 A^3/atom
1.0
3.5154 0.0000 0.0000
1.7577 3.0444 0.0000
1.7577 1.0148 7.7029
Ir Ga Zr
1 1 2
Direct
0.0000 0.0000 0.0000 Ir
0.5000 0.5000 0.5000 Ga
0.2564 0.2564 0.2309 Zr
0.7436 0.7436 0.7691 Zr

---

Q: E_form of number 1 (LaIrRh2C)?
A: -0.303 eV per atom

---

Q: volume of number 2 (Zr2GaIr)?
A: 20.61 A^3/atom